Here is a relaxed Ge3W crystal from Alexandria via LeMat-Bulk. Energies are from PBE.

Values from the calculation:
Formation energy from the elements = 16 kJ per mole of atoms
Uncorrected energy = -6.53 eV per atom
N(E_F) = 1.2 states/eV/cell
Volume = 17.8 Å³ per atom

The structure in POSCAR format:
```
Ge3W
1.0
3.358 0.000 0.000
0.000 5.800 0.000
-1.679 -2.900 3.656
Ge W
3 1
direct
0.313 0.636 0.627 Ge
0.687 0.009 0.373 Ge
0.500 0.431 0.000 Ge
0.000 0.091 0.000 W
```

=====

Here is a relaxed CeOs2 crystal from Alexandria via LeMat-Bulk. Energies are from PBE.

Values from the calculation:
Formation energy from the elements = -23 kJ per mole of atoms
Uncorrected energy = -9.70 eV per atom
N(E_F) = 5.8 states/eV/cell
Volume = 18.5 Å³ per atom

The structure in POSCAR format:
```
CeOs2
1.0
5.395 0.000 0.000
2.697 4.672 0.000
2.697 1.557 4.405
Ce Os
2 4
direct
0.500 0.500 0.500 Ce
0.750 0.750 0.750 Ce
0.125 0.125 0.125 Os
0.125 0.125 0.625 Os
0.625 0.125 0.125 Os
0.125 0.625 0.125 Os
```

=====

Here is a relaxed Lu2PdSe crystal from Alexandria via LeMat-Bulk. Energies are from PBE.

Values from the calculation:
Uncorrected energy = -5.01 eV per atom
Uncorrected formation energy = -0.5812 eV/atom
N(E_F) = 2.0 states/eV/cell
Volume = 24.7 Å³ per atom

The structure in POSCAR format:
```
Lu2PdSe
1.0
3.574 0.000 0.000
1.787 3.095 0.000
1.787 1.032 8.915
Pd Lu Se
1 2 1
direct
0.000 0.000 0.000 Pd
0.096 0.096 0.711 Lu
0.904 0.904 0.289 Lu
0.500 0.500 0.500 Se
```

=====

Here is a relaxed Sr6Mg2P crystal from Alexandria via LeMat-Bulk. Energies are from PBE.

Values from the calculation:
Formation energy from the elements = -25 kJ per mole of atoms
Uncorrected energy = -2.34 eV per atom
N(E_F) = 18.1 states/eV/cell
Volume = 43.9 Å³ per atom

The structure in POSCAR format:
```
Sr6Mg2P
1.0
7.789 0.000 -0.260
0.000 8.779 0.000
0.228 0.000 11.543
P Sr Mg
2 12 4
direct
0.500 0.500 0.000 P
0.000 0.000 0.500 P
0.682 0.818 0.545 Sr
0.101 0.980 0.749 Sr
0.399 0.480 0.751 Sr
0.182 0.682 0.045 Sr
0.835 0.302 0.547 Sr
0.165 0.698 0.453 Sr
0.601 0.520 0.249 Sr
0.899 0.020 0.251 Sr
0.318 0.182 0.455 Sr
0.818 0.318 0.955 Sr
0.665 0.802 0.953 Sr
0.335 0.198 0.047 Sr
0.953 0.594 0.748 Mg
0.547 0.094 0.752 Mg
0.047 0.406 0.252 Mg
0.453 0.906 0.248 Mg
```

=====

Here is a relaxed Cu2ReAs crystal from Alexandria via LeMat-Bulk. Energies are from PBE.

Values from the calculation:
Formation energy from the elements = 33 kJ per mole of atoms
Uncorrected energy = -5.98 eV per atom
N(E_F) = 1.7 states/eV/cell
Volume = 13.9 Å³ per atom

The structure in POSCAR format:
```
Cu2ReAs
1.0
2.917 0.000 0.000
0.000 4.238 -0.015
0.000 3.090 4.476
Cu Re As
2 1 1
direct
0.000 0.000 0.000 Cu
0.500 0.500 0.000 Cu
0.500 0.500 0.500 Re
0.000 0.000 0.500 As
```

=====

Here is a relaxed PuAg2BiO8 crystal from Alexandria via LeMat-Bulk. Energies are from PBE.

Values from the calculation:
Uncorrected energy = -6.18 eV per atom
Uncorrected formation energy = -0.8768 eV/atom
N(E_F) = 7.8 states/eV/cell
Volume = 14.4 Å³ per atom

The structure in POSCAR format:
```
PuAg2BiO8
1.0
6.058 0.822 0.000
-1.950 5.794 0.000
-2.054 -3.308 4.713
Ag Bi O Pu
2 1 8 1
direct
0.500 0.500 0.000 Ag
0.750 0.250 0.500 Ag
0.000 0.000 0.000 Bi
0.275 0.066 0.791 O
0.702 0.027 0.675 O
0.275 0.483 0.209 O
0.353 0.027 0.325 O
0.973 0.298 0.325 O
0.973 0.647 0.675 O
0.934 0.725 0.209 O
0.517 0.725 0.791 O
0.250 0.750 0.500 Pu
```

=====

Here is a relaxed Sm15Dy4Th crystal from Alexandria via LeMat-Bulk. Energies are from PBE.

Values from the calculation:
Formation energy from the elements = 2 kJ per mole of atoms
Uncorrected energy = -4.81 eV per atom
N(E_F) = 28.4 states/eV/cell
Volume = 33.3 Å³ per atom

The structure in POSCAR format:
```
Sm15Dy4Th
1.0
5.111 0.000 0.000
0.000 5.111 0.000
0.000 0.000 25.509
Th Sm Dy
1 15 4
direct
0.000 0.000 0.000 Th
0.500 0.500 0.000 Sm
0.000 0.500 0.300 Sm
0.500 0.500 0.400 Sm
0.500 0.500 0.600 Sm
0.000 0.500 0.901 Sm
0.000 0.500 0.099 Sm
0.500 0.500 0.798 Sm
0.500 0.000 0.099 Sm
0.500 0.500 0.202 Sm
0.500 0.000 0.500 Sm
0.000 0.500 0.700 Sm
0.000 0.500 0.500 Sm
0.500 0.000 0.901 Sm
0.500 0.000 0.300 Sm
0.500 0.000 0.700 Sm
0.000 0.000 0.400 Dy
0.000 0.000 0.200 Dy
0.000 0.000 0.600 Dy
0.000 0.000 0.800 Dy
```

=====

Here is a relaxed YHo3Mg7 crystal from Alexandria via LeMat-Bulk. Energies are from PBE.

Values from the calculation:
Formation energy from the elements = 19 kJ per mole of atoms
Uncorrected energy = -2.66 eV per atom
N(E_F) = 9.7 states/eV/cell
Volume = 28.6 Å³ per atom

The structure in POSCAR format:
```
YHo3Mg7
1.0
5.939 -0.760 -0.973
-3.304 7.630 1.534
-3.304 -0.362 7.775
Mg Ho Y
7 3 1
direct
0.696 0.950 0.436 Mg
0.455 0.238 0.238 Mg
0.304 0.564 0.050 Mg
0.545 0.762 0.762 Mg
0.304 0.050 0.564 Mg
0.000 0.500 0.500 Mg
0.696 0.436 0.950 Mg
0.000 0.192 0.808 Ho
0.500 0.000 0.000 Ho
0.000 0.808 0.192 Ho
0.500 0.500 0.500 Y
```

=====

Here is a relaxed SmHoBr3 crystal from Alexandria via LeMat-Bulk. Energies are from PBE.

Values from the calculation:
Uncorrected energy = -4.37 eV per atom
Uncorrected formation energy = -1.5047 eV/atom
Volume = 34.5 Å³ per atom

The structure in POSCAR format:
```
SmHoBr3
1.0
-3.291 -2.130 0.238
0.015 -4.563 -8.223
3.758 -9.239 1.662
Br Ho Sm
6 2 2
direct
0.665 0.177 0.493 Br
0.788 0.306 0.118 Br
0.035 0.679 0.252 Br
0.335 0.823 0.507 Br
0.212 0.694 0.882 Br
0.965 0.321 0.748 Br
0.572 0.816 0.041 Ho
0.428 0.184 0.959 Ho
0.863 0.989 0.285 Sm
0.137 0.011 0.715 Sm
```

=====

Here is a relaxed MgZn2Sb crystal from Alexandria via LeMat-Bulk. Energies are from PBE.

Values from the calculation:
Uncorrected energy = -2.05 eV per atom
Uncorrected formation energy = 0.0120 eV/atom
N(E_F) = 1.2 states/eV/cell
Volume = 20.1 Å³ per atom

The structure in POSCAR format:
```
MgZn2Sb
1.0
5.432 0.049 -0.059
2.143 4.992 0.059
-3.752 -2.573 2.969
Sb Zn Mg
1 2 1
direct
0.751 0.251 0.500 Sb
0.248 0.748 0.500 Zn
0.001 0.001 0.000 Zn
0.500 0.500 0.000 Mg
```

=====

Here is a relaxed Ta2CuNi crystal from Alexandria via LeMat-Bulk. Energies are from PBE.

Values from the calculation:
Formation energy from the elements = 0 kJ per mole of atoms
Uncorrected energy = -8.40 eV per atom
N(E_F) = 4.0 states/eV/cell
Volume = 14.8 Å³ per atom

The structure in POSCAR format:
```
Ta2CuNi
1.0
-3.514 -0.128 3.181
-2.074 -4.258 -0.221
4.558 1.234 0.430
Ni Cu Ta
1 1 2
direct
0.750 0.250 0.500 Ni
0.250 0.750 0.500 Cu
0.000 0.000 0.000 Ta
0.500 0.500 0.000 Ta
```

=====

Here is a relaxed Rb2H6PtAu crystal from Alexandria via LeMat-Bulk. Energies are from PBE.

Values from the calculation:
Uncorrected energy = -3.28 eV per atom
N(E_F) = 2.3 states/eV/cell
Volume = 16.7 Å³ per atom

The structure in POSCAR format:
```
Rb2H6PtAu
1.0
-0.844 -3.883 -3.614
3.827 -3.558 2.930
-5.821 -0.052 1.415
Rb H Pt Au
2 6 1 1
direct
0.250 0.333 0.667 Rb
0.750 0.667 0.333 Rb
0.190 0.866 0.134 H
0.810 0.134 0.268 H
0.810 0.732 0.866 H
0.190 0.866 0.732 H
0.810 0.134 0.866 H
0.190 0.268 0.134 H
0.000 0.000 0.000 Pt
0.500 0.000 0.000 Au
```

=====

Q: Among the records above, which one has the highest volume?
A: Sr6Mg2P

=====

Q: What is the volume in the eighth record?
A: 28.6 Å³ per atom

=====

Q: volume of number 9 (SmHoBr3)?
A: 34.5 Å³ per atom

=====

Q: Among the records above, which one has the highest volume?
A: Sr6Mg2P